Compound: Y6BiAs3S2
Source: the Alexandria database
Functional: GGA-PBE
Structure: relaxed Values from VASP.

Computed properties:
V in Å³/atom: 24.89
E_form (uncorrected) in eV/atom: -1.576
Total magnetization in Bohr magnetons per cell: 0.00
Fermi-level density of states in states/eV per cell: 4.0
Total energy in eV per atom: -6.981

Geometry as Quantum ESPRESSO input:
```
&SYSTEM
  ibrav = 0, nat = 12, ntyp = 4
/
ATOMIC_SPECIES
As 74.92 As.upf
Y 88.91 Y.upf
Bi 208.98 Bi.upf
S 32.06 S.upf
ATOMIC_POSITIONS crystal
As 0.500 0.500 0.000
As 0.164 0.831 0.329
As 0.836 0.169 0.671
Y 0.668 0.585 0.335
Y 0.002 0.269 0.005
Y 0.332 0.415 0.665
Y 0.998 0.731 0.995
Y 0.674 0.087 0.349
Y 0.326 0.913 0.651
Bi 0.500 0.000 0.000
S 0.830 0.662 0.660
S 0.170 0.338 0.340
CELL_PARAMETERS angstrom
-3.565 2.048 -0.391
-0.357 -2.147 -7.985
-2.525 -7.733 4.325
```

***

Compound: Y2BiAsS
Source: the Alexandria database
Functional: GGA-PBE
Structure: relaxed Values from VASP.

Computed properties:
V in Å³/atom: 35.27
E_form (uncorrected) in eV/atom: 0.348
Total magnetization in Bohr magnetons per cell: 0.00
Fermi-level density of states in states/eV per cell: 3.0
Total energy in eV per atom: -4.769

Geometry as Quantum ESPRESSO input:
```
&SYSTEM
  ibrav = 0, nat = 5, ntyp = 4
/
ATOMIC_SPECIES
Y 88.91 Y.upf
Bi 208.98 Bi.upf
S 32.06 S.upf
As 74.92 As.upf
ATOMIC_POSITIONS crystal
Y 0.500 0.000 0.000
Y 0.000 0.000 0.500
Bi 0.000 0.000 0.000
S 0.500 0.500 0.500
As 0.000 0.500 0.000
CELL_PARAMETERS angstrom
-0.053 5.743 -1.096
-3.698 0.642 3.539
4.076 0.822 4.111
```